DFT (GGA-PBE) results for an optimized crystal structure of La2Tb7Nd2.

a b c (Å): 11.446 11.718 6.133
angles (deg): 90.00 113.54 90.00
Space group C2/m (No. 12)
Symmetry-distinct sites (fractional):
La 0.000 0.212 0.000 [4 per cell]
Tb 0.000 0.000 0.500 [2 per cell]
Tb 0.173 0.237 0.671 [8 per cell]
Tb 0.236 0.000 0.079 [4 per cell]
Nd 0.096 0.500 0.313 [4 per cell]

Values from the calculation:
For the energy of formation from the pure elements, the calculation gives 149 meV per atom. The calculation puts the total energy at -100.317 eV per cell. Its distance to the lowest polymorph of the same formula is 0 meV per atom.

***

DFT (GGA-PBE) results for an optimized crystal structure of NaTb3Ru.

a b c (Å): 5.449 5.449 5.449
angles (deg): 90.00 90.00 90.00
Space group Pm-3m (No. 221)
Symmetry-distinct sites (fractional):
Na 0.000 0.000 0.000 [1 per cell]
Tb 0.000 0.500 0.500 [3 per cell]
Ru 0.500 0.500 0.500 [1 per cell]

Values from the calculation:
For the energy of formation from the pure elements, the calculation gives -44 meV per atom. The calculation puts the total energy at -24.704 eV per cell.

***

DFT (GGA-PBE) results for an optimized crystal structure of Y6SbP2S3.

a b c (Å): 17.585 4.032 8.100
angles (deg): 90.00 102.86 90.00
Space group C2/m (No. 12)
Symmetry-distinct sites (fractional):
Y 0.004 0.000 0.270 [4 per cell]
Y 0.170 0.500 0.578 [4 per cell]
Y 0.174 0.500 0.099 [4 per cell]
Sb 0.000 0.500 0.000 [2 per cell]
P 0.168 0.000 0.336 [4 per cell]
S 0.000 0.500 0.500 [2 per cell]
S 0.165 0.000 0.833 [4 per cell]

Values from the calculation:
The uncorrected formation energy comes out at -1.744 eV per atom. The calculation puts the total energy at -174.086 eV per cell.

***

DFT (GGA-PBE) results for an optimized crystal structure of PuTl3Ag2S6.

a b c (Å): 6.463 13.975 7.086
angles (deg): 90.00 108.62 90.00
Space group C2/m (No. 12)
Symmetry-distinct sites (fractional):
Pu 0.000 0.000 0.000 [2 per cell]
Tl 0.000 0.182 0.500 [4 per cell]
Tl 0.000 0.500 0.500 [2 per cell]
Ag 0.000 0.389 0.000 [4 per cell]
S 0.203 0.000 0.734 [4 per cell]
S 0.228 0.366 0.780 [8 per cell]

Values from the calculation:
The uncorrected formation energy comes out at -0.432 eV per atom. The calculation puts the total energy at -114.172 eV per cell.

***

DFT (GGA-PBE) results for an optimized crystal structure of Sc3SnN.

a b c (Å): 4.4113 4.4113 14.1722
angles (deg): 90.00 90.00 120.00
Space group P6_3/mmc (No. 194)
Symmetry-distinct sites (fractional):
Sc 0.0000 0.0000 0.2500 [2 per cell]
Sc 0.3333 0.6667 0.0552 [4 per cell]
Sn 0.3333 0.6667 0.2500 [2 per cell]
N 0.0000 0.0000 0.0000 [2 per cell]

Values from the calculation:
The uncorrected formation energy comes out at 0.289 eV per atom. The calculation puts the total energy at -59.757 eV per cell.

***

DFT (GGA-PBE) results for an optimized crystal structure of Pu12TcRu6.

a b c (Å): 10.7730 10.7730 11.1146
angles (deg): 90.00 90.00 120.00
Space group R-3 (No. 148, hexagonal axes)
Symmetry-distinct sites (fractional):
Pu 0.0570 0.8728 0.2866 [18 per cell]
Pu 0.0599 0.2421 0.9166 [18 per cell]
Tc 0.0000 0.0000 0.5000 [3 per cell]
Ru 0.0536 0.5981 0.2041 [18 per cell]

Values from the calculation:
For the energy of formation from the pure elements, the calculation gives -6 meV per atom. The calculation puts the total energy at -714.372 eV per cell.

***

DFT (GGA-PBE) results for an optimized crystal structure of Tb4PrIn2.

a b c (Å): 6.434 10.906 6.820
angles (deg): 90.00 113.37 90.00
Space group P2_1/c (No. 14)
Symmetry-distinct sites (fractional):
Tb 0.001 0.168 0.000 [4 per cell]
Tb 0.499 0.721 0.000 [4 per cell]
Pr 0.000 0.000 0.500 [2 per cell]
In 0.445 0.000 0.187 [4 per cell]

Values from the calculation:
For the energy of formation from the pure elements, the calculation gives -146 meV per atom. The calculation puts the total energy at -59.605 eV per cell. Its distance to the lowest polymorph of the same formula is 0 meV per atom.

***

DFT (GGA-PBE) results for an optimized crystal structure of CaTlSiTeSeF.

a b c (Å): 14.062 3.925 6.106
angles (deg): 90.00 96.79 90.00
Space group Cm (No. 8)
Symmetry-distinct sites (fractional):
Ca 0.000 0.000 0.000 [2 per cell]
Tl 0.299 0.000 0.364 [2 per cell]
Si 0.148 0.500 0.576 [2 per cell]
Te 0.183 0.500 0.003 [2 per cell]
Se 0.034 0.000 0.514 [2 per cell]
F 0.429 0.000 0.009 [2 per cell]

Values from the calculation:
The uncorrected formation energy comes out at -1.229 eV per atom. The calculation puts the total energy at -51.327 eV per cell. Its distance to the lowest polymorph of the same formula is 34 meV per atom.

***

DFT (GGA-PBE) results for an optimized crystal structure of LiPmNdDy.

a b c (Å): 7.910 7.910 7.910
angles (deg): 90.00 90.00 90.00
Space group F-43m (No. 216)
Symmetry-distinct sites (fractional):
Li 0.000 0.000 0.000 [4 per cell]
Pm 0.000 0.000 0.500 [4 per cell]
Nd 0.250 0.250 0.750 [4 per cell]
Dy 0.250 0.250 0.250 [4 per cell]

Values from the calculation:
For the energy of formation from the pure elements, the calculation gives 197 meV per atom. The calculation puts the total energy at -60.983 eV per cell.

***

DFT (GGA-PBE) results for an optimized crystal structure of V2CuMoH.

a b c (Å): 4.055 4.055 3.432
angles (deg): 90.00 90.00 90.00
Space group P4/mmm (No. 123)
Symmetry-distinct sites (fractional):
V 0.000 0.500 0.000 [2 per cell]
Cu 0.000 0.000 0.500 [1 per cell]
Mo 0.500 0.500 0.500 [1 per cell]
H 0.000 0.000 0.000 [1 per cell]

Values from the calculation:
The calculation puts the total energy at -36.301 eV per cell. Its distance to the lowest polymorph of the same formula is 0 meV per atom.

***

DFT (GGA-PBE) results for an optimized crystal structure of TbPaTc2.

a b c (Å): 3.4145 3.4145 25.1270
angles (deg): 90.00 90.00 120.00
Space group R-3m (No. 166, hexagonal axes)
Symmetry-distinct sites (fractional):
Tb 0.0000 0.0000 0.0000 [3 per cell]
Pa 0.0000 0.0000 0.5000 [3 per cell]
Tc 0.0000 0.0000 0.2398 [6 per cell]

Values from the calculation:
For the energy of formation from the pure elements, the calculation gives 54 meV per atom. The calculation puts the total energy at -103.932 eV per cell. Its distance to the lowest polymorph of the same formula is 249 meV per atom.

***

DFT (GGA-PBE) results for an optimized crystal structure of SbTe2RuRh.

a b c (Å): 5.144 5.144 4.962
angles (deg): 90.00 90.00 90.00
Space group P4/mmm (No. 123)
Symmetry-distinct sites (fractional):
Sb 0.000 0.000 0.000 [1 per cell]
Te 0.000 0.500 0.500 [2 per cell]
Ru 0.000 0.000 0.500 [1 per cell]
Rh 0.500 0.500 0.000 [1 per cell]

Values from the calculation:
The uncorrected formation energy comes out at 0.843 eV per atom. The calculation puts the total energy at -22.819 eV per cell. Its distance to the lowest polymorph of the same formula is 0 meV per atom.